Record 1
A PBEsol-optimized structure of MgAgPRh2. Source: the Alexandria database, functional meta-GGA SCAN.

Computed properties:
The value obtained for the density of states at the Fermi level is 1.74 states/eV/cell. For the volume, the calculation gives 17.33 Å³/atom. Its theoretical density is 7.1 g/cm3. The formation energy comes out at -0.185 eV/atom.

Lattice parameters (Å, degrees): 4.3385 4.3385 4.6026 90.00 90.00 90.00
Sites, in units of the cell vectors:
1 Mg 0.0000 0.0000 0.0000
2 Ag 0.5000 0.5000 0.0000
3 P 0.5000 0.5000 0.5000
4 Rh 0.0000 0.5000 0.5000
5 Rh 0.5000 0.0000 0.5000

---

Record 2
A PBEsol-optimized structure of MgAgP2S. Source: the Alexandria database, functional meta-GGA SCAN.

Computed properties:
The value obtained for the density of states at the Fermi level is 3.31 states/eV/cell. For the volume, the calculation gives 21.69 Å³/atom. The calculation puts the energy relative to the elements, uncorrected at 0.8012 eV per atom. Its theoretical density is 3.5 g/cm3.

Lattice parameters (Å, degrees): 4.7055 4.7055 4.8981 90.00 90.00 90.00
Sites, in units of the cell vectors:
1 Mg 0.0000 0.0000 0.0000
2 Ag 0.5000 0.5000 0.5000
3 P 0.0000 0.5000 0.5000
4 P 0.5000 0.0000 0.5000
5 S 0.5000 0.5000 0.0000

---

Record 3
A PBEsol-optimized structure of MgAgSn2P. Source: the Alexandria database, functional meta-GGA SCAN.

Computed properties:
The value obtained for the density of states at the Fermi level is 3.30 states/eV/cell. For the volume, the calculation gives 27.01 Å³/atom. Its theoretical density is 4.9 g/cm3. The formation energy comes out at 0.641 eV/atom.

Lattice parameters (Å, degrees): 5.3765 5.3765 4.6723 90.00 90.00 90.00
Sites, in units of the cell vectors:
1 Mg 0.0000 0.0000 0.0000
2 Ag 0.5000 0.5000 0.5000
3 Sn 0.0000 0.5000 0.5000
4 Sn 0.5000 0.0000 0.5000
5 P 0.5000 0.5000 0.0000

---

Record 4
A PBEsol-optimized structure of Mg2AgPb. Source: the Alexandria database, functional meta-GGA SCAN.

Computed properties:
The value obtained for the density of states at the Fermi level is 1.27 states/eV/cell. For the volume, the calculation gives 21.26 Å³/atom. Its theoretical density is 7.1 g/cm3. The formation energy comes out at -0.153 eV/atom.

Lattice parameters (Å, degrees): 3.3218 4.9007 5.2233 90.00 90.00 90.00
Sites, in units of the cell vectors:
1 Mg 0.0000 0.0000 0.0000
2 Mg 0.0000 0.5000 0.3824
3 Ag 0.5000 0.0000 0.4716
4 Pb 0.5000 0.5000 0.8689